1.
Sr7Os | PBE-GGA | optimized geometry

The space group is Fm-3m (No. 225) and the conventional cell measures 11.0152, 11.0152 and 11.0152 Å, with angles of 90.00, 90.00 and 90.00 degrees. The inequivalent atoms are Sr at (0.0000, 0.0000, 0.0000), Sr at (0.0000, 0.2500, 0.2500) and Os at (0.0000, 0.0000, 0.5000).

For the energy of formation from the pure elements, the calculation gives 552.6 meV/atom. The theoretical density is 4.0 Mg/m³.


2.
Sr3Os4 | PBE-GGA | optimized geometry

The space group is P6/mmm (No. 191) and the conventional cell measures 6.1484, 6.1484 and 4.8598 Å, with angles of 90.00, 90.00 and 120.00 degrees. The inequivalent atoms are Sr at (0.0000, 0.5000, 0.0000), Os at (0.0000, 0.0000, 0.2431) and Os at (0.3333, 0.6667, 0.5000).

For the energy of formation from the pure elements, the calculation gives 1737.6 meV/atom. The theoretical density is 10.7 Mg/m³.


3.
Sr5Os | PBE-GGA | optimized geometry

The space group is P-62m (No. 189) and the conventional cell measures 8.5629, 8.5629 and 4.3938 Å, with angles of 90.00, 90.00 and 120.00 degrees. The inequivalent atoms are Sr at (0.0000, 0.7602, 0.0000), Sr at (0.3333, 0.6667, 0.5000) and Os at (0.0000, 0.0000, 0.5000).

For the energy of formation from the pure elements, the calculation gives 539.1 meV/atom. The theoretical density is 3.7 Mg/m³.


4.
Sr5Os | PBE-GGA | optimized geometry

The space group is P4/mmm (No. 123) and the conventional cell measures 3.8480, 3.8480 and 16.6404 Å, with angles of 90.00, 90.00 and 90.00 degrees. The inequivalent atoms are Sr at (0.0000, 0.0000, 0.0000), Sr at (0.0000, 0.0000, 0.3987), Sr at (0.5000, 0.5000, 0.1952) and Os at (0.5000, 0.5000, 0.5000).

For the energy of formation from the pure elements, the calculation gives 385.4 meV/atom. The theoretical density is 4.2 Mg/m³.


5.
Sr4Os5 | PBE-GGA | optimized geometry

The space group is P6_3/mcm (No. 193) and the conventional cell measures 8.7102, 8.7102 and 5.6222 Å, with angles of 90.00, 90.00 and 120.00 degrees. The inequivalent atoms are Sr at (0.0000, 0.0000, 0.0000), Sr at (0.0000, 0.2947, 0.2500), Os at (0.0000, 0.4148, 0.7500) and Os at (0.3333, 0.6667, 0.0000).

For the energy of formation from the pure elements, the calculation gives 1466.3 meV/atom. The theoretical density is 11.7 Mg/m³.


6.
SrTa2Os | PBE-GGA | optimized geometry

The space group is Cm (No. 8) and the conventional cell measures 10.0322, 3.2791 and 6.0359 Å, with angles of 90.00, 103.96 and 90.00 degrees. The inequivalent atoms are Sr at (0.0000, 0.0000, 0.0000), Ta at (0.2063, 0.0000, 0.6335), Ta at (0.4660, 0.0000, 0.4746) and Os at (0.2603, 0.5000, 0.3510).

For the energy of formation from the pure elements, the calculation gives 580.1 meV/atom. The theoretical density is 11.0 Mg/m³.


7.
Sr3TaOs | PBE-GGA | optimized geometry

The space group is Pm-3m (No. 221) and the conventional cell measures 5.7302, 5.7302 and 5.7302 Å, with angles of 90.00, 90.00 and 90.00 degrees. The inequivalent atoms are Sr at (0.0000, 0.0000, 0.5000), Ta at (0.5000, 0.5000, 0.5000) and Os at (0.0000, 0.0000, 0.0000).

For the energy of formation from the pure elements, the calculation gives 1389.6 meV/atom. The theoretical density is 5.6 Mg/m³.


8.
SrTa2Os2 | PBE-GGA | optimized geometry

The space group is P4/mbm (No. 127) and the conventional cell measures 8.0307, 8.0307 and 2.9575 Å, with angles of 90.00, 90.00 and 90.00 degrees. The inequivalent atoms are Sr at (0.0000, 0.0000, 0.0000), Ta at (0.1414, 0.3586, 0.0000) and Os at (0.1447, 0.6447, 0.5000).

For the energy of formation from the pure elements, the calculation gives 123.9 meV/atom. The theoretical density is 14.5 Mg/m³.


9.
Sr2TaOs | PBE-GGA | optimized geometry

The space group is I-42d (No. 122) and the conventional cell measures 11.4903, 11.4903 and 4.7825 Å, with angles of 90.00, 90.00 and 90.00 degrees. The inequivalent atoms are Sr at (0.0844, 0.7500, 0.1250), Ta at (0.0000, 0.0000, 0.5000) and Os at (0.0000, 0.0000, 0.0000).

For the energy of formation from the pure elements, the calculation gives 891.0 meV/atom. The theoretical density is 5.7 Mg/m³.


10.
SrTa2Os | PBE-GGA | optimized geometry

The space group is Fm-3m (No. 225) and the conventional cell measures 6.7079, 6.7079 and 6.7079 Å, with angles of 90.00, 90.00 and 90.00 degrees. The inequivalent atoms are Sr at (0.0000, 0.0000, 0.0000), Ta at (0.2500, 0.2500, 0.2500) and Os at (0.0000, 0.0000, 0.5000).

For the energy of formation from the pure elements, the calculation gives 763.6 meV/atom. The theoretical density is 14.1 Mg/m³.


11.
SrTa2Os | PBE-GGA | optimized geometry

The space group is Pm (No. 6) and the conventional cell measures 3.1117, 4.1416 and 7.2312 Å, with angles of 90.00, 95.62 and 90.00 degrees. The inequivalent atoms are Sr at (0.0000, 0.0000, 0.0000), Ta at (0.0934, 0.0000, 0.5381), Ta at (0.5718, 0.5000, 0.3489) and Os at (0.5134, 0.5000, 0.6803).

For the energy of formation from the pure elements, the calculation gives 458.8 meV/atom. The theoretical density is 11.5 Mg/m³.


12.
SrTaOs2 | PBE-GGA | optimized geometry

The space group is P4/mmm (No. 123) and the conventional cell measures 3.2136, 3.2136 and 7.5255 Å, with angles of 90.00, 90.00 and 90.00 degrees. The inequivalent atoms are Sr at (0.0000, 0.0000, 0.0000), Ta at (0.0000, 0.0000, 0.5000) and Os at (0.5000, 0.5000, 0.3039).

For the energy of formation from the pure elements, the calculation gives 213.1 meV/atom. The theoretical density is 13.9 Mg/m³.